No. 1
Computed, not measured: Ca2Ni10H after structural relaxation at the PBE level of DFT.

Results
DFT total energy   -5.129 eV per atom
SG   Cmmm

Cell: 5.0180 5.0180 7.8240 Å, 90.00 90.00 121.28°
Last column: magnetic moment on the atom in μB.
Sites, in units of the cell vectors:
Ni: 0.5000 0.0000 0.2570  0.49
Ni: 0.5000 0.5000 0.2413  0.43
Ni: 0.3451 0.6549 0.5000  0.46
Ca: 0.0000 0.0000 0.0000  -0.03
Ni: 0.6549 0.3451 0.5000  0.46
Ni: 0.0000 0.5000 0.2570  0.49
Ni: 0.0000 0.5000 0.7430  0.49
H: 0.5000 0.5000 0.0000  0.00
Ni: 0.6870 0.3130 0.0000  0.26
Ni: 0.3130 0.6870 0.0000  0.26
Ni: 0.5000 0.0000 0.7430  0.49
Ni: 0.5000 0.5000 0.7587  0.43
Ca: 0.0000 0.0000 0.5000  -0.03



No. 2
Computed, not measured: KEr4NpS8 after structural relaxation at the PBE level of DFT.

Results
DFT total energy   -6.448 eV per atom
SG   R3m

Cell: 8.1474 8.1474 8.2255 Å, 60.31 60.31 60.00°
Last column: magnetic moment on the atom in μB.
Sites, in units of the cell vectors:
K: 0.3743 0.3743 0.8772  0.00
S: 0.2355 0.8014 0.7276  -0.02
Np: 0.0031 0.0031 0.9907  3.85
S: 0.7529 0.2301 0.2641  -0.02
Er: 0.0049 0.0049 0.5021  0.02
S: 0.2355 0.2355 0.7276  -0.02
Er: 0.4880 0.0049 0.5021  0.02
S: 0.7574 0.7574 0.7277  0.00
S: 0.2301 0.7529 0.2641  -0.02
S: 0.8014 0.2355 0.7276  -0.02
S: 0.2335 0.2335 0.2996  0.00
S: 0.7529 0.7529 0.2641  -0.02
Er: 0.6255 0.6255 0.1236  0.02
Er: 0.0049 0.4880 0.5021  0.02



No. 3
Computed, not measured: ScMnRh after structural relaxation at the PBE level of DFT.

Results
SG   I4mm
ΔE_f   -91.9 kJ/mol of formula units

Cell: 5.3499 5.3504 5.3504 Å, 145.28 145.28 49.91°
Last column: magnetic moment on the atom in μB.
Sites, in units of the cell vectors:
Rh: 0.3388 0.3387 0.0001  0.36
Sc: 0.6751 0.6751 0.0000  -0.23
Mn: 0.9861 0.9861 0.9999  3.49



No. 4
Computed, not measured: ZrScTcHg after structural relaxation at the PBE level of DFT.

Results
SG   P4mm
ΔE_f   -141.5 kJ/mol of formula units

Cell: 3.3598 3.3598 7.0202 Å, 90.00 90.00 90.00°
Sites, in units of the cell vectors:
Zr: 0.5000 0.5000 0.7848
Tc: 0.0000 0.0000 0.5759
Hg: 0.0000 0.0000 0.0765
Sc: 0.5000 0.5000 0.3475



No. 5
Computed, not measured: CaNdDy2 after structural relaxation at the PBE level of DFT.

Results
SG   R3m
ΔE_f   23.9 kJ/mol of formula units

Cell: 3.6320 3.6320 12.2378 Å, 81.47 81.47 60.00°
Sites, in units of the cell vectors:
Dy: 0.2536 0.2536 0.2391
Dy: 0.0797 0.0797 0.7610
Ca: 0.5005 0.5005 0.4984
Nd: 0.6662 0.6662 0.0014



No. 6
Computed, not measured: In2TeAs after structural relaxation at the PBE level of DFT.

Results
DFT total energy   -3.149 eV per atom
SG   Cmm2

Cell: 3.3124 3.3124 10.0182 Å, 90.00 90.00 100.38°
Sites, in units of the cell vectors:
In: 0.0000 0.0000 0.9829
Te: 0.0000 0.0000 0.4854
As: 0.5000 0.5000 0.7952
In: 0.5000 0.5000 0.2365



No. 7
Computed, not measured: Ta2V2Mo after structural relaxation at the PBE level of DFT.

Results
SG   C2/c
ΔE_f   111.6 kJ/mol of formula units

Cell: 4.9064 5.3561 7.6454 Å, 115.93 114.57 74.27°
Sites, in units of the cell vectors:
Mo: 0.4053 0.1553 0.3105
V: 0.0008 0.2508 0.5016
V: 0.6037 0.3537 0.7074
Ta: 0.8062 0.8044 0.1111
V: 0.3963 0.6463 0.2926
Mo: 0.5947 0.8447 0.6895
Ta: 0.1938 0.1956 0.8889
V: 0.9992 0.7492 0.4984
Ta: 0.1951 0.6933 0.8889
Ta: 0.8049 0.3067 0.1111



No. 8
Computed, not measured: Tb5Gd after structural relaxation at the PBE level of DFT.

Results
SG   Cmmm
ΔE_f   7.8 kJ/mol of formula units

Cell: 5.0437 5.0364 7.9684 Å, 108.42 90.00 90.00°
Last column: magnetic moment on the atom in μB.
Sites, in units of the cell vectors:
Tb: 0.0000 0.6674 0.3349  -0.04
Tb: 0.5000 0.5000 0.0000  -0.02
Tb: 0.0000 0.3326 0.6651  -0.04
Gd: 0.0000 0.0000 0.0000  7.19
Tb: 0.5000 0.1667 0.3333  -0.03
Tb: 0.5000 0.8333 0.6667  -0.03



No. 9
Computed, not measured: LaTi2Pt after structural relaxation at the PBE level of DFT.

Results
SG   Fm-3m
ΔE_f   -97.6 kJ/mol of formula units

Cell: 4.7002 4.7002 4.7002 Å, 60.00 60.00 60.00°
Sites, in units of the cell vectors:
Ti: 0.7500 0.7500 0.7500
La: 0.0000 0.0000 0.0000
Ti: 0.2500 0.2500 0.2500
Pt: 0.5000 0.5000 0.5000



No. 10
Computed, not measured: TbMgTlIn after structural relaxation at the PBE level of DFT.

Results
SG   F-43m
ΔE_f   -94.9 kJ/mol of formula units

Cell: 5.2444 5.2444 5.2444 Å, 60.00 60.00 60.00°
Sites, in units of the cell vectors:
Tl: 0.0000 0.0000 0.0000
In: 0.5000 0.5000 0.5000
Tb: 0.7500 0.7500 0.7500
Mg: 0.2500 0.2500 0.2500



No. 11
Computed, not measured: ZnSi2Tc after structural relaxation at the PBE level of DFT.

Results
DFT total energy   -5.581 eV per atom
SG   P2/m

Cell: 3.0777 4.6252 4.9602 Å, 52.57 90.00 90.00°
Sites, in units of the cell vectors:
Tc: 0.5000 0.5000 0.5000
Zn: 0.0000 0.0000 0.5000
Si: 0.5000 0.5000 0.0000
Si: 0.0000 0.0000 0.0000



No. 12
Computed, not measured: Si3PdBr after structural relaxation at the PBE level of DFT.

Results
DFT total energy   -4.098 eV per atom
SG   Pm-3m

Cell: 4.7851 4.7851 4.7851 Å, 90.00 90.00 90.00°
Sites, in units of the cell vectors:
Br: 0.5000 0.5000 0.5000
Si: 0.5000 0.0000 0.0000
Si: 0.0000 0.0000 0.5000
Si: 0.0000 0.5000 0.0000
Pd: 0.0000 0.0000 0.0000



No. 13
Computed, not measured: Pr6ZrO12 after structural relaxation at the PBE level of DFT.

Results
DFT total energy   -8.207 eV per atom
SG   R-3

Cell: 6.8364 6.8364 6.8364 Å, 98.91 98.91 98.91°
Last column: magnetic moment on the atom in μB.
Sites, in units of the cell vectors:
O: 0.5560 0.8228 0.4144  0.24
O: 0.6956 0.0503 0.9342  0.07
Pr: 0.8630 0.7097 0.3907  -0.01
O: 0.4144 0.5560 0.8228  0.24
O: 0.1772 0.5856 0.4440  0.24
O: 0.8228 0.4144 0.5560  0.24
O: 0.4440 0.1772 0.5856  0.24
O: 0.0503 0.9342 0.6956  0.07
Zr: 0.0000 0.0000 0.0000  -0.01
Pr: 0.7097 0.3907 0.8630  -0.01
Pr: 0.6093 0.1370 0.2903  -0.01
O: 0.3044 0.9497 0.0658  0.07
O: 0.9497 0.0658 0.3044  0.07
Pr: 0.3907 0.8630 0.7097  -0.01
Pr: 0.1370 0.2903 0.6093  -0.01
O: 0.5856 0.4440 0.1772  0.24
Pr: 0.2903 0.6093 0.1370  -0.01
O: 0.0658 0.3044 0.9497  0.07
O: 0.9342 0.6956 0.0503  0.07



No. 14
Computed, not measured: ReRu2S after structural relaxation at the PBE level of DFT.

Results
DFT total energy   -8.730 eV per atom
SG   Amm2

Cell: 2.8490 7.3426 5.4823 Å, 90.00 90.00 90.00°
Sites, in units of the cell vectors:
S: 0.5000 0.0000 0.4576
S: 0.5000 0.5000 0.9576
Re: 0.0000 0.0000 0.1160
Ru: 0.5000 0.3098 0.2859
Ru: 0.5000 0.1902 0.7859
Ru: 0.5000 0.8098 0.7859
Re: 0.0000 0.5000 0.6160
Ru: 0.5000 0.6902 0.2859



No. 15
Computed, not measured: BiP after structural relaxation at the PBE level of DFT.

Results
SG   P6_3/m
ΔE_f   44.9 kJ/mol of formula units

Cell: 8.6411 8.6411 5.8868 Å, 90.00 90.00 120.00°
Sites, in units of the cell vectors:
Bi: 0.6523 0.9924 0.7500
P: 0.6422 0.6775 0.7500
Bi: 0.0076 0.6599 0.7500
P: 0.3578 0.3225 0.2500
Bi: 0.3401 0.3477 0.7500
P: 0.9646 0.6422 0.2500
P: 0.0354 0.3578 0.7500
Bi: 0.6599 0.6523 0.2500
P: 0.6775 0.0354 0.2500
Bi: 0.3477 0.0076 0.2500
P: 0.3225 0.9646 0.7500
Bi: 0.9924 0.3401 0.2500



No. 16
Computed, not measured: KTl2Ru after structural relaxation at the PBE level of DFT.

Results
SG   R-3m
ΔE_f   139.3 kJ/mol of formula units

Cell: 4.4544 4.4544 7.4108 Å, 72.56 72.56 59.94°
Sites, in units of the cell vectors:
Ru: 0.7500 0.7500 0.7500
Tl: 0.0331 0.0331 0.9007
Tl: 0.4669 0.4669 0.5993
K: 0.2500 0.2500 0.2500



No. 17
Computed, not measured: AcCdGe2 after structural relaxation at the PBE level of DFT.

Results
SG   Amm2
ΔE_f   -96.8 kJ/mol of formula units

Cell: 4.1569 5.3112 5.3112 Å, 107.53 90.00 90.00°
Sites, in units of the cell vectors:
Ac: 0.0000 0.0179 0.9821
Ge: 0.5000 0.5020 0.8931
Ge: 0.5000 0.1069 0.4980
Cd: 0.5000 0.5884 0.4116



No. 18
Computed, not measured: Nd2SbHRh6 after structural relaxation at the PBE level of DFT.

Results
DFT total energy   -6.571 eV per atom
SG   C2/m

Cell: 6.2921 6.2923 6.2919 Å, 60.04 60.04 90.01°
Sites, in units of the cell vectors:
Rh: 0.7185 0.7185 0.5623
H: 0.5000 0.5000 0.0000
Rh: 0.7186 0.2814 0.0000
Rh: 0.7180 0.7180 0.0011
Sb: 0.0000 0.0000 0.0000
Nd: 0.2495 0.7505 0.4999
Rh: 0.2814 0.7186 0.0000
Rh: 0.2815 0.2815 0.4377
Rh: 0.2820 0.2820 0.9989
Nd: 0.7505 0.2495 0.5001



No. 19
Computed, not measured: RbBe3Pt after structural relaxation at the PBE level of DFT.

Results
SG   Pm-3m
ΔE_f   1296.8 kJ/mol of formula units

Cell: 4.5796 4.5796 4.5796 Å, 90.00 90.00 90.00°
Sites, in units of the cell vectors:
Be: 0.0000 0.5000 0.0000
Rb: 0.0000 0.0000 0.0000
Pt: 0.5000 0.5000 0.5000
Be: 0.5000 0.0000 0.0000
Be: 0.0000 0.0000 0.5000



No. 20
Computed, not measured: AcMg2Au2 after structural relaxation at the PBE level of DFT.

Results
SG   I4/mmm
ΔE_f   -325.5 kJ/mol of formula units

Cell: 4.3465 4.3465 7.1591 Å, 107.67 107.67 90.00°
Sites, in units of the cell vectors:
Mg: 0.2500 0.7500 0.5000
Au: 0.3862 0.3862 0.7725
Ac: 0.0000 0.0000 0.0000
Au: 0.6138 0.6138 0.2275
Mg: 0.7500 0.2500 0.5000